! LiNiBO3 | Alexandria via LeMat-Bulk | PBE+U | relaxed; values from VASP
! Final energy ... -6.26 eV/atom
! Calculated volume ... 9.63 Å³ per atom
! SG ... Cc, No. 9
&SYSTEM
  ibrav = 0, nat = 24, ntyp = 4
/
ATOMIC_SPECIES
Li 6.94 Li.upf
Ni 58.69 Ni.upf
B 10.81 B.upf
O 16.00 O.upf
CELL_PARAMETERS angstrom
-4.3024 -1.2797 2.4699
3.3513 -3.7271 -1.0610
4.4844 1.3200 8.8055
ATOMIC_POSITIONS crystal
Li 0.3489 0.3307 0.1632
Li 0.3307 0.3489 0.6632
Li 0.6586 0.6617 0.4137
Li 0.6617 0.6586 0.9137
Ni 0.0166 0.6793 0.6307
Ni 0.3292 0.9891 0.8817
Ni 0.6793 0.0166 0.1307
Ni 0.9891 0.3292 0.3817
B 0.0011 0.6645 0.1271
B 0.3428 0.9981 0.3767
B 0.6645 0.0011 0.6271
B 0.9981 0.3428 0.8767
O 0.9725 0.5950 0.8389
O 0.0905 0.7474 0.4226
O 0.2582 0.9229 0.0907
O 0.4166 0.0233 0.6724
O 0.2689 0.3486 0.8659
O 0.3486 0.2689 0.3659
O 0.6510 0.7275 0.6150
O 0.7275 0.6510 0.1150
O 0.5950 0.9725 0.3389
O 0.7474 0.0905 0.9226
O 0.9229 0.2582 0.5907
O 0.0233 0.4166 0.1724